Ba3WCl2O5: optimized geometry, GGA+U.

Unit cell a=5.920 b=14.012 c=11.722 alpha=90.00 beta=90.00 gamma=90.00
Space group Cmcm (No. 63)
Symmetry-distinct sites (fractional):
Ba: 0.000 0.090 0.250 [4 per cell]
Ba: 0.000 0.346 0.045 [8 per cell]
W: 0.000 0.247 0.750 [4 per cell]
Cl: 0.000 0.000 0.000 [4 per cell]
Cl: 0.000 0.497 0.750 [4 per cell]
O: 0.000 0.120 0.750 [4 per cell]
O: 0.224 0.282 0.636 [16 per cell]

Calculated values
Final energy   -280.129 eV for the cell shown